The following is a DFT calculation (PBE) of an optimized crystal structure of ErAsPtO.

- V: 18.976 Å³/atom
- Crystal system: tetragonal
- ρ: 9.916 g/cm³
- Total DFT energy (no corrections): -5.87 eV per atom
- Total moment: 0.0068 μB per atom

Unit cell a=4.064 b=4.064 c=4.595 alpha=90.00 beta=90.00 gamma=90.00
Atoms (fractional coordinates):
Er  0.000  0.000  0.000
As  0.500  0.500  0.000
Pt  0.500  0.500  0.500
O  0.000  0.000  0.500